Version i
The following is a DFT calculation (GGA-PBE) of a relaxed ZrAsSCl2 crystal.

Values from the calculation:
DOS(E_F) ... 5.97 states/eV/cell
Calculated volume ... 120.2 Å³ per cell

a = 4.868 Å, b = 4.868 Å, c = 5.075 Å
α = 90.00°, β = 90.00°, γ = 90.00°
Space group P4/mmm (No. 123)
Symmetry-distinct sites (fractional):
Zr 0.000 0.000 0.000 [1 per cell]
As 0.500 0.500 0.500 [1 per cell]
S 0.500 0.500 0.000 [1 per cell]
Cl 0.000 0.500 0.500 [2 per cell]

***

Version ii
The following is a DFT calculation (GGA-PBE) of a relaxed ZrAsSCl2 crystal.

Values from the calculation:
DOS(E_F) ... 3.00 states/eV/cell
Calculated volume ... 131.4 Å³ per cell

a = 5.125 Å, b = 5.125 Å, c = 5.000 Å
α = 90.00°, β = 90.00°, γ = 90.00°
Space group P4/mmm (No. 123)
Symmetry-distinct sites (fractional):
Zr 0.000 0.000 0.000 [1 per cell]
As 0.500 0.500 0.500 [1 per cell]
S 0.000 0.000 0.500 [1 per cell]
Cl 0.000 0.500 0.000 [2 per cell]

***

version ii takes first place; second place is 74.0 kJ/mol of atoms up.

***

Version i
The following is a DFT calculation (GGA-PBE) of a relaxed Sb2AsCl crystal.

Values from the calculation:
DOS(E_F) ... 4.32 states/eV/cell
Calculated volume ... 211.2 Å³ per cell

a = 3.754 Å, b = 6.452 Å, c = 8.721 Å
α = 90.00°, β = 90.00°, γ = 90.00°
Space group Immm (No. 71)
Symmetry-distinct sites (fractional):
Sb 0.000 0.000 0.233 [4 per cell]
As 0.000 0.500 0.500 [2 per cell]
Cl 0.000 0.500 0.000 [2 per cell]

***

Version ii
The following is a DFT calculation (GGA-PBE) of a relaxed Sb2AsCl crystal.

Values from the calculation:
Calculated volume ... 305.3 Å³ per cell

a = 11.966 Å, b = 3.794 Å, c = 6.989 Å
α = 90.00°, β = 105.80°, γ = 90.00°
Space group Cm (No. 8)
Symmetry-distinct sites (fractional):
Sb 0.000 0.000 0.000 [2 per cell]
Sb 0.164 0.500 0.326 [2 per cell]
As 0.438 0.000 0.229 [2 per cell]
Cl 0.210 0.000 0.621 [2 per cell]

***

version ii takes first place; second place is 27.0 kJ/mol of atoms up.

***

Version i
The following is a DFT calculation (GGA-PBE) of a relaxed Sb2AsCl crystal.

Values from the calculation:
DOS(E_F) ... 15.27 states/eV/cell
Calculated volume ... 372.6 Å³ per cell

a = 7.196 Å, b = 7.196 Å, c = 7.196 Å
α = 90.00°, β = 90.00°, γ = 90.00°
Space group Fm-3m (No. 225)
Symmetry-distinct sites (fractional):
Sb 0.250 0.250 0.250 [8 per cell]
As 0.000 0.000 0.000 [4 per cell]
Cl 0.000 0.000 0.500 [4 per cell]

***

Version ii
The following is a DFT calculation (GGA-PBE) of a relaxed Sb2AsCl crystal.

Values from the calculation:
Calculated volume ... 575.6 Å³ per cell

a = 6.394 Å, b = 6.341 Å, c = 14.623 Å
α = 90.00°, β = 103.85°, γ = 90.00°
Space group P2/c (No. 13)
Symmetry-distinct sites (fractional):
Sb 0.106 0.236 0.051 [4 per cell]
Sb 0.266 0.357 0.891 [4 per cell]
As 0.158 0.360 0.616 [4 per cell]
Cl 0.300 0.004 0.338 [4 per cell]

***

version ii takes first place; second place is 25.3 kJ/mol of atoms up.

***

Version i
The following is a DFT calculation (GGA-PBE) of a relaxed SbAs3Cl crystal.

Values from the calculation:
DOS(E_F) ... 4.15 states/eV/cell
Calculated volume ... 119.9 Å³ per cell

a = 4.931 Å, b = 4.931 Å, c = 4.931 Å
α = 90.00°, β = 90.00°, γ = 90.00°
Space group Pm-3m (No. 221)
Symmetry-distinct sites (fractional):
Sb 0.000 0.000 0.000 [1 per cell]
As 0.000 0.500 0.500 [3 per cell]
Cl 0.500 0.500 0.500 [1 per cell]

***

Version ii
The following is a DFT calculation (GGA-PBE) of a relaxed SbAs3Cl crystal.

Values from the calculation:
DOS(E_F) ... 7.07 states/eV/cell
Calculated volume ... 151.4 Å³ per cell

a = 5.330 Å, b = 5.330 Å, c = 5.330 Å
α = 90.00°, β = 90.00°, γ = 90.00°
Space group Pm-3m (No. 221)
Symmetry-distinct sites (fractional):
Sb 0.000 0.000 0.000 [1 per cell]
As 0.000 0.000 0.500 [3 per cell]
Cl 0.500 0.500 0.500 [1 per cell]

***

version i takes first place; second place is 0.7 kJ/mol of atoms up.

***

Version i
The following is a DFT calculation (GGA-PBE) of a relaxed SbTe2AsCl crystal.

Values from the calculation:
DOS(E_F) ... 5.69 states/eV/cell
Calculated volume ... 162.2 Å³ per cell

a = 5.475 Å, b = 5.475 Å, c = 5.410 Å
α = 90.00°, β = 90.00°, γ = 90.00°
Space group P4/mmm (No. 123)
Symmetry-distinct sites (fractional):
Sb 0.000 0.000 0.000 [1 per cell]
Te 0.000 0.500 0.500 [2 per cell]
As 0.000 0.000 0.500 [1 per cell]
Cl 0.500 0.500 0.000 [1 per cell]

***

Version ii
The following is a DFT calculation (GGA-PBE) of a relaxed SbTe2AsCl crystal.

Values from the calculation:
DOS(E_F) ... 6.09 states/eV/cell
Calculated volume ... 154.2 Å³ per cell

a = 5.429 Å, b = 5.429 Å, c = 5.234 Å
α = 90.00°, β = 90.00°, γ = 90.00°
Space group P4/mmm (No. 123)
Symmetry-distinct sites (fractional):
Sb 0.000 0.000 0.000 [1 per cell]
Te 0.000 0.500 0.500 [2 per cell]
As 0.500 0.500 0.000 [1 per cell]
Cl 0.000 0.000 0.500 [1 per cell]

***

version i takes first place; second place is 47.2 kJ/mol of atoms up.

***

Version i
The following is a DFT calculation (GGA-PBE) of a relaxed Sb2TeAsCl crystal.

Values from the calculation:
DOS(E_F) ... 5.41 states/eV/cell
Calculated volume ... 151.8 Å³ per cell

a = 5.272 Å, b = 5.272 Å, c = 5.460 Å
α = 90.00°, β = 90.00°, γ = 90.00°
Space group P4/mmm (No. 123)
Symmetry-distinct sites (fractional):
Sb 0.000 0.500 0.000 [2 per cell]
Te 0.000 0.000 0.500 [1 per cell]
As 0.500 0.500 0.500 [1 per cell]
Cl 0.000 0.000 0.000 [1 per cell]

***

Version ii
The following is a DFT calculation (GGA-PBE) of a relaxed Sb2TeAsCl crystal.

Values from the calculation:
DOS(E_F) ... 3.85 states/eV/cell
Calculated volume ... 160.9 Å³ per cell

a = 5.411 Å, b = 5.411 Å, c = 5.496 Å
α = 90.00°, β = 90.00°, γ = 90.00°
Space group P4/mmm (No. 123)
Symmetry-distinct sites (fractional):
Sb 0.000 0.500 0.000 [2 per cell]
Te 0.000 0.000 0.500 [1 per cell]
As 0.000 0.000 0.000 [1 per cell]
Cl 0.500 0.500 0.500 [1 per cell]

***

version ii takes first place; second place is 43.9 kJ/mol of atoms up.

***

Version i
The following is a DFT calculation (GGA-PBE) of a relaxed ScAs2Cl crystal.

Values from the calculation:
DOS(E_F) ... 8.46 states/eV/cell
Calculated volume ... 246.1 Å³ per cell

a = 3.2808 Å, b = 3.2808 Å, c = 26.3966 Å
α = 90.00°, β = 90.00°, γ = 120.00°
Space group R-3m (No. 166, hexagonal axes)
Symmetry-distinct sites (fractional):
Sc 0.0000 0.0000 0.0000 [3 per cell]
As 0.0000 0.0000 0.2534 [6 per cell]
Cl 0.0000 0.0000 0.5000 [3 per cell]

***

Version ii
The following is a DFT calculation (GGA-PBE) of a relaxed ScAs2Cl crystal.

Values from the calculation:
DOS(E_F) ... 1.69 states/eV/cell
Calculated volume ... 94.5 Å³ per cell

a = 3.435 Å, b = 3.435 Å, c = 8.006 Å
α = 90.00°, β = 90.00°, γ = 90.00°
Space group P4mm (No. 99)
Symmetry-distinct sites (fractional):
Sc 0.000 0.000 0.000 [1 per cell]
As 0.000 0.000 0.346 [1 per cell]
As 0.500 0.500 0.214 [1 per cell]
Cl 0.500 0.500 0.811 [1 per cell]

***

Version iii
The following is a DFT calculation (GGA-PBE) of a relaxed ScAs2Cl crystal.

Values from the calculation:
DOS(E_F) ... 20.47 states/eV/cell
Calculated volume ... 317.5 Å³ per cell

a = 6.822 Å, b = 6.822 Å, c = 6.822 Å
α = 90.00°, β = 90.00°, γ = 90.00°
Space group F-43m (No. 216)
Symmetry-distinct sites (fractional):
Sc 0.000 0.000 0.000 [4 per cell]
As 0.000 0.000 0.500 [4 per cell]
As 0.250 0.250 0.250 [4 per cell]
Cl 0.250 0.250 0.750 [4 per cell]

***

version ii takes first place; second place is 40.6 kJ/mol of atoms up.